CaPr7Sm3: relaxed, PBE.

Unit cell a=8.880 b=7.336 c=7.336 alpha=120.00 beta=90.00 gamma=90.00
Fractional positions:
Pr: 0.125 0.667 0.333
Sm: 0.788 0.995 0.498
Ca: 0.444 0.333 0.667
Pr: 0.107 0.671 0.836
Sm: 0.788 0.502 0.005
Pr: 0.454 0.335 0.168
Sm: 0.788 0.502 0.498
Pr: 0.107 0.164 0.836
Pr: 0.454 0.832 0.168
Pr: 0.454 0.832 0.665
Pr: 0.107 0.164 0.329

Output
ΔH_f (0 K) (eV/atom): 0.1949
Space group: P3m1, No. 156
Calculated density (g/cm³): 5.93